Entry 1:
ZrAl5 | GGA-PBE | optimized geometry

For the formation energy, the calculation gives -0.08 eV per atom. The crystal system is hexagonal.

abc: 5.2713 5.2713 4.4032
angles: 90.00 90.00 120.00
Space group P-62m (No. 189)
Asymmetric unit:
Zr: 0.0000 0.0000 0.0000 [1 per cell]
Al: 0.0000 0.6410 0.5000 [3 per cell]
Al: 0.3333 0.6667 0.0000 [2 per cell]

---

Entry 2:
ZrAl7 | GGA-PBE | optimized geometry

For the formation energy, the calculation gives -0.18 eV per atom. The crystal system is cubic.

abc: 8.200 8.200 8.200
angles: 90.00 90.00 90.00
Space group Fm-3m (No. 225)
Asymmetric unit:
Zr: 0.000 0.000 0.000 [4 per cell]
Al: 0.000 0.000 0.500 [4 per cell]
Al: 0.000 0.250 0.250 [24 per cell]